(1)
Entry from Alexandria via LeMat-Bulk: a relaxed ScSn3Pb crystal (PBE-GGA).

Properties
The calculation puts the calculated formation energy at 0.252 eV per atom.

Geometry as CIF:
```
data_ScSn3Pb
_space_group_name_H-M_alt 'P m -3 m'
_space_group_IT_number 221
_space_group_name_Hall '-P 4 2 3'
_cell_length_a 5.501
_cell_length_b 5.501
_cell_length_c 5.501
_cell_angle_alpha 90.00
_cell_angle_beta 90.00
_cell_angle_gamma 90.00
loop_
_atom_site_label
_atom_site_fract_x
_atom_site_fract_y
_atom_site_fract_z
_atom_site_occupancy
Sc1 0.000 0.000 0.000 1
Sn1 0.000 0.000 0.500 1
Pb1 0.500 0.500 0.500 1
```

(2)
Entry from Alexandria via LeMat-Bulk: a relaxed TmGa4Cu2Ru crystal (PBE-GGA).

Properties
The calculation puts the calculated formation energy at -0.278 eV per atom.

Geometry as CIF:
```
data_TmGa4Cu2Ru
_space_group_name_H-M_alt 'R -3 m'
_space_group_IT_number 166
_space_group_name_Hall '-R 3 2"'
_cell_length_a 4.1531
_cell_length_b 4.1531
_cell_length_c 26.5078
_cell_angle_alpha 90.00
_cell_angle_beta 90.00
_cell_angle_gamma 120.00
loop_
_atom_site_label
_atom_site_fract_x
_atom_site_fract_y
_atom_site_fract_z
_atom_site_occupancy
Tm1 0.0000 0.0000 0.0000 1
Ga1 0.0000 0.0000 0.1299 1
Ga2 0.0000 0.0000 0.3994 1
Cu1 0.0000 0.0000 0.2350 1
Ru1 0.0000 0.0000 0.5000 1
```